No. 1
Below is a relaxed HfSc2Cl crystal, with properties calculated at the PBE-GGA level.

Summary:
E above lowest polymorph (meV/atom): 500
Formation energy without anion corrections (meV per atom): -118
Calculated total energy (eV/atom): -6.2335
Crystal system: tetragonal
ρ (g cm⁻³): 5.760

Cell and atoms, written as POSCAR:
```
HfSc2Cl
1.0
-4.1756 -6.5000 1.9491
4.2140 -4.2775 -5.2372
1.8616 -5.9824 0.3232
Sc Hf Cl
4 2 2
Cartesian
1.0949 -13.5771 -2.2184
2.2453 -5.4982 -2.7939
1.7456 -8.8683 -1.4069
-1.2857 -5.5761 0.4894
-1.1474 -8.9355 0.3141
0.0000 0.0000 0.0000
0.0192 -5.3888 -1.6441
3.0474 -7.8243 -3.2790
```

No. 2
Below is a relaxed HfScCl crystal, with properties calculated at the PBE-GGA level.

Summary:
Formation energy without anion corrections (meV per atom): -597
Calculated total energy (eV/atom): -6.6405
Crystal system: hexagonal
ρ (g cm⁻³): 7.167

Cell and atoms, written as POSCAR:
```
HfScCl
1.0
-3.1062 0.1636 0.9795
1.9124 -2.4274 1.0415
3.6040 7.2252 10.2221
Cl Sc Hf
2 2 2
Cartesian
0.5925 -0.8562 2.0218
3.1234 4.2177 9.2004
1.9871 6.1571 10.7016
1.8580 1.6810 5.6114
0.8758 3.9292 7.5496
-0.5055 1.1599 3.6316
```

No. 3
Below is a relaxed HfSc3Cl crystal, with properties calculated at the PBE-GGA level.

Summary:
E above lowest polymorph (meV/atom): 0
Formation energy without anion corrections (meV per atom): -268
Calculated total energy (eV/atom): -6.4272
Crystal system: cubic
ρ (g cm⁻³): 5.152

Cell and atoms, written as POSCAR:
```
HfSc3Cl
1.0
4.8263 0.0000 0.0000
0.0000 4.8263 0.0000
0.0000 0.0000 4.8263
Sc Cl Hf
3 1 1
Cartesian
2.4131 0.0000 0.0000
0.0000 2.4131 0.0000
0.0000 0.0000 2.4131
0.0000 0.0000 0.0000
2.4131 2.4131 2.4131
```

No. 4
Below is a relaxed HfSc3Cl crystal, with properties calculated at the PBE-GGA level.

Summary:
E above lowest polymorph (meV/atom): 977
Formation energy without anion corrections (meV per atom): 709
Calculated total energy (eV/atom): -5.4501
Crystal system: cubic
ρ (g cm⁻³): 3.807

Cell and atoms, written as POSCAR:
```
HfSc3Cl
1.0
5.3385 0.0000 0.0000
0.0000 5.3385 0.0000
0.0000 0.0000 5.3385
Sc Hf Cl
3 1 1
Cartesian
2.6693 0.0000 0.0000
0.0000 2.6693 0.0000
0.0000 0.0000 2.6693
0.0000 0.0000 0.0000
2.6693 2.6693 2.6693
```

No. 5
Below is a relaxed HfSc2Cl crystal, with properties calculated at the PBE-GGA level.

Summary:
E above lowest polymorph (meV/atom): 959
Formation energy without anion corrections (meV per atom): 341
Calculated total energy (eV/atom): -5.7745
Crystal system: cubic
ρ (g cm⁻³): 5.560

Cell and atoms, written as POSCAR:
```
HfSc2Cl
1.0
-4.3149 1.4882 2.1468
-1.4977 4.7989 -0.4114
-3.9776 1.1629 -2.8754
Sc Cl Hf
2 1 1
Cartesian
-7.3427 5.5875 -0.8550
-2.4476 1.8625 -0.2850
0.0000 0.0000 0.0000
-4.8951 3.7250 -0.5700
```

No. 6
Below is a relaxed Hf3ScCl crystal, with properties calculated at the PBE-GGA level.

Summary:
E above lowest polymorph (meV/atom): 1345
Formation energy without anion corrections (meV per atom): 1330
Calculated total energy (eV/atom): -6.2773
Crystal system: cubic
ρ (g cm⁻³): 7.561

Cell and atoms, written as POSCAR:
```
Hf3ScCl
1.0
5.1333 0.0000 0.0000
0.0000 5.1333 0.0000
0.0000 0.0000 5.1333
Sc Hf Cl
1 3 1
Cartesian
0.0000 0.0000 0.0000
0.0000 0.0000 2.5666
2.5666 0.0000 0.0000
0.0000 2.5666 0.0000
2.5666 2.5666 2.5666
```

No. 7
Below is a relaxed HfSc2Cl crystal, with properties calculated at the PBE-GGA level.

Summary:
E above lowest polymorph (meV/atom): 0
Formation energy without anion corrections (meV per atom): -617
Calculated total energy (eV/atom): -6.7332
Crystal system: trigonal
ρ (g cm⁻³): 5.874

Cell and atoms, written as POSCAR:
```
HfSc2Cl
1.0
-1.1846 -0.8220 3.0012
-2.8597 -1.6860 0.2565
3.1706 -8.5504 0.7566
Sc Hf Cl
2 1 1
Cartesian
-0.5537 -8.4672 3.0033
-0.3200 -2.5912 1.0110
-0.4369 -5.5292 2.0072
0.0000 0.0000 0.0000
```

No. 8
Below is a relaxed HfScCl3 crystal, with properties calculated at the PBE-GGA level.

Summary:
Formation energy without anion corrections (meV per atom): -513
Calculated total energy (eV/atom): -4.8782
Crystal system: cubic
ρ (g cm⁻³): 4.419

Cell and atoms, written as POSCAR:
```
HfScCl3
1.0
4.9859 0.0000 0.0000
0.0000 4.9859 0.0000
0.0000 0.0000 4.9859
Sc Cl Hf
1 3 1
Cartesian
2.4929 2.4929 2.4929
2.4929 0.0000 0.0000
0.0000 0.0000 2.4929
0.0000 2.4929 0.0000
0.0000 0.0000 0.0000
```

No. 9
Below is a relaxed Hf3ScCl crystal, with properties calculated at the PBE-GGA level.

Summary:
E above lowest polymorph (meV/atom): 0
Formation energy without anion corrections (meV per atom): -14
Calculated total energy (eV/atom): -7.6222
Crystal system: cubic
ρ (g cm⁻³): 9.300

Cell and atoms, written as POSCAR:
```
Hf3ScCl
1.0
4.7909 0.0000 0.0000
0.0000 4.7909 0.0000
0.0000 0.0000 4.7909
Cl Hf Sc
1 3 1
Cartesian
0.0000 0.0000 0.0000
2.3955 0.0000 0.0000
0.0000 0.0000 2.3955
0.0000 2.3955 0.0000
2.3955 2.3955 2.3955
```

No. 10
Below is a relaxed HfScSiCl2 crystal, with properties calculated at the PBE-GGA level.

Summary:
Formation energy without anion corrections (meV per atom): 568
Calculated total energy (eV/atom): -4.5120
Crystal system: tetragonal
ρ (g cm⁻³): 4.178

Cell and atoms, written as POSCAR:
```
HfScSiCl2
1.0
-0.2349 -2.6998 3.9632
5.4685 0.6444 0.7631
-0.8300 3.9309 2.6287
Cl Sc Hf Si
2 1 1 1
Cartesian
-0.1174 -1.3499 1.9816
-0.4150 1.9655 1.3143
2.7342 0.3222 0.3815
2.2018 0.9377 3.6775
0.0000 0.0000 0.0000
```

No. 11
Below is a relaxed HfScSnCl2 crystal, with properties calculated at the PBE-GGA level.

Summary:
Formation energy without anion corrections (meV per atom): 460
Calculated total energy (eV/atom): -4.3359
Crystal system: tetragonal
ρ (g cm⁻³): 4.267

Cell and atoms, written as POSCAR:
```
HfScSnCl2
1.0
5.1852 0.0000 0.0000
0.0000 5.9782 0.0000
0.0000 0.0000 5.1852
Hf Sn Cl Sc
1 1 2 1
Cartesian
0.0000 2.9891 0.0000
0.0000 0.0000 0.0000
0.0000 0.0000 2.5926
2.5926 0.0000 0.0000
2.5926 2.9891 2.5926
```

No. 12
Below is a relaxed YHfScCl2 crystal, with properties calculated at the PBE-GGA level.

Summary:
Formation energy without anion corrections (meV per atom): 112
Calculated total energy (eV/atom): -5.1760
Crystal system: tetragonal
ρ (g cm⁻³): 3.574

Cell and atoms, written as POSCAR:
```
YHfScCl2
1.0
-3.2752 -3.6353 1.0206
0.6989 -2.4939 -6.6408
3.7439 -2.9513 1.5024
Y Cl Sc Hf
1 2 1 1
Cartesian
0.0000 0.0000 0.0000
1.8720 -1.4756 0.7512
-1.6376 -1.8177 0.5103
0.3495 -1.2470 -3.3204
0.5838 -4.5403 -2.0589
```

No. 13
Below is a relaxed HfSeCl2 crystal, with properties calculated at the PBE-GGA level.

Summary:
E above lowest polymorph (meV/atom): 337
Formation energy without anion corrections (meV per atom): -1200
Calculated total energy (eV/atom): -5.4824
Crystal system: tetragonal
ρ (g cm⁻³): 5.055

Cell and atoms, written as POSCAR:
```
HfSeCl2
1.0
9.2086 0.0000 0.0000
0.0000 9.2086 0.0000
4.6043 4.6043 2.5438
Hf Se Cl
2 2 4
Cartesian
9.2086 4.6043 1.2719
0.0000 0.0000 0.0000
4.6043 4.6043 0.0000
4.6043 9.2086 1.2719
11.5108 3.6202 1.9079
10.1927 6.9065 0.6360
6.9065 5.5884 1.9079
8.2246 2.3022 0.6360
```

No. 14
Below is a relaxed HfSe2Cl crystal, with properties calculated at the PBE-GGA level.

Summary:
E above lowest polymorph (meV/atom): 359
Formation energy without anion corrections (meV per atom): -533
Calculated total energy (eV/atom): -5.2248
Crystal system: tetragonal
ρ (g cm⁻³): 4.723

Cell and atoms, written as POSCAR:
```
HfSe2Cl
1.0
6.8672 0.0000 0.0000
0.0000 6.8672 0.0000
3.4336 3.4336 5.5448
Hf Cl Se
2 2 4
Cartesian
6.8672 3.4336 2.7724
0.0000 0.0000 0.0000
3.4336 3.4336 0.0000
3.4336 6.8672 2.7724
5.6337 1.7168 1.3862
8.5840 9.0673 4.1586
1.2335 5.1504 1.3862
5.1504 4.6671 4.1586
```

No. 15
Below is a relaxed HfSeCl3 crystal, with properties calculated at the PBE-GGA level.

Summary:
Formation energy without anion corrections (meV per atom): -711
Calculated total energy (eV/atom): -4.5062
Crystal system: cubic
ρ (g cm⁻³): 4.849

Cell and atoms, written as POSCAR:
```
HfSeCl3
1.0
-1.0818 1.6691 4.5815
-4.8652 -0.0568 -1.1281
-0.3249 -4.7071 1.6382
Cl Hf Se
3 1 1
Cartesian
-2.4326 -0.0284 -0.5641
-0.1624 -2.3536 0.8191
-0.5409 0.8346 2.2907
0.0000 0.0000 0.0000
-3.1360 -1.5474 2.5458
```

No. 16
Below is a relaxed HfSeCl2 crystal, with properties calculated at the PBE-GGA level.

Summary:
E above lowest polymorph (meV/atom): 733
Formation energy without anion corrections (meV per atom): -804
Calculated total energy (eV/atom): -5.0867
Crystal system: trigonal
ρ (g cm⁻³): 5.409

Cell and atoms, written as POSCAR:
```
HfSeCl2
1.0
0.4210 -7.2554 9.1771
0.2832 -9.4557 6.8954
3.0808 -8.2218 7.7426
Se Cl Hf
1 2 1
Cartesian
0.0000 0.0000 0.0000
3.3535 -22.0906 21.1002
0.4315 -2.8423 2.7149
1.8925 -12.4664 11.9075
```

No. 17
Below is a relaxed HfSeCl2 crystal, with properties calculated at the PBE-GGA level.

Summary:
E above lowest polymorph (meV/atom): 1196
Formation energy without anion corrections (meV per atom): -340
Calculated total energy (eV/atom): -4.6230
Crystal system: cubic
ρ (g cm⁻³): 7.267

Cell and atoms, written as POSCAR:
```
HfSeCl2
1.0
1.9536 3.0131 3.0851
-2.4137 3.8097 1.4401
-1.6298 0.2311 4.4389
Hf Se Cl
1 1 2
Cartesian
-1.0450 3.5269 4.4820
0.0000 0.0000 0.0000
-1.5674 5.2904 6.7231
-0.5225 1.7635 2.2410
```

No. 18
Below is a relaxed HfSeCl2 crystal, with properties calculated at the PBE-GGA level.

Summary:
E above lowest polymorph (meV/atom): 0
Formation energy without anion corrections (meV per atom): -1537
Calculated total energy (eV/atom): -5.8195
Crystal system: orthorhombic
ρ (g cm⁻³): 4.683

Cell and atoms, written as POSCAR:
```
HfSeCl2
1.0
6.4398 0.0001 0.0000
0.0001 6.3226 -0.0027
0.0000 0.0051 11.4381
Cl Se Hf
8 4 4
Cartesian
1.3676 3.6154 6.4924
1.8528 3.6172 10.6609
1.3672 0.4534 4.9432
4.5875 5.8761 10.6606
5.0722 2.7123 4.9429
4.5871 2.7105 0.7745
5.0727 5.8743 6.4922
1.8523 0.4516 0.7747
4.8308 2.6282 8.5779
1.6108 0.5408 8.5778
4.8290 5.7869 2.8575
1.6091 3.6995 2.8575
3.2203 1.5852 10.2235
3.2196 4.7425 1.2118
6.4395 4.7440 4.5030
0.0004 1.5837 6.9323
```

No. 19
Below is a relaxed HfSe2Cl5 crystal, with properties calculated at the PBE-GGA level.

Summary:
Formation energy without anion corrections (meV per atom): -1096
Calculated total energy (eV/atom): -4.3653
Crystal system: triclinic
ρ (g cm⁻³): 2.475

Cell and atoms, written as POSCAR:
```
HfSe2Cl5
1.0
5.7895 -0.1829 3.6885
3.1104 6.7266 0.5549
0.0647 -1.1986 9.0126
Cl Hf Se
5 1 2
Cartesian
3.8863 3.1185 9.4036
1.4246 0.5973 1.5771
4.8138 2.1490 3.4130
3.4389 5.7878 7.2683
6.7198 5.8296 5.1432
3.0255 6.5177 0.5603
1.6205 2.4738 5.3455
3.6867 3.1567 5.3007
```

No. 20
Below is a relaxed Hf2SeCl crystal, with properties calculated at the PBE-GGA level.

Summary:
E above lowest polymorph (meV/atom): 0
Formation energy without anion corrections (meV per atom): -491
Calculated total energy (eV/atom): -6.8003
Crystal system: cubic
ρ (g cm⁻³): 10.834

Cell and atoms, written as POSCAR:
```
Hf2SeCl
1.0
0.0000 3.3057 3.3057
3.3057 0.0000 3.3057
3.3057 3.3057 0.0000
Hf Se Cl
2 1 1
Cartesian
1.6529 1.6529 1.6529
4.9586 4.9586 4.9586
3.3057 3.3057 3.3057
0.0000 0.0000 0.0000
```

No. 21
Below is a relaxed HfSe2Cl crystal, with properties calculated at the PBE-GGA level.

Summary:
E above lowest polymorph (meV/atom): 0
Formation energy without anion corrections (meV per atom): -892
Calculated total energy (eV/atom): -5.5838
Crystal system: trigonal
ρ (g cm⁻³): 5.958

Cell and atoms, written as POSCAR:
```
HfSe2Cl
1.0
3.6211 4.9632 5.9433
6.6196 3.6018 4.0343
4.7108 6.6070 2.6877
Se Hf Cl
2 1 1
Cartesian
1.5580 1.5810 1.3198
13.3935 13.5910 11.3455
7.4757 7.5860 6.3327
0.0000 0.0000 0.0000
```

No. 22
Below is a relaxed HfSeCl crystal, with properties calculated at the PBE-GGA level.

Summary:
Formation energy without anion corrections (meV per atom): -1363
Calculated total energy (eV/atom): -6.4577
Crystal system: monoclinic
ρ (g cm⁻³): 6.083

Cell and atoms, written as POSCAR:
```
HfSeCl
1.0
-2.1477 2.7735 0.5994
-1.3367 -3.0415 -1.2756
0.6205 -2.3462 7.1008
Se Hf Cl
1 1 1
Cartesian
-0.9844 -1.1640 5.5340
-2.1322 2.5903 0.5918
-2.1281 0.1019 1.5569
```

No. 23
Below is a relaxed HfSeCl crystal, with properties calculated at the PBE-GGA level.

Summary:
Formation energy without anion corrections (meV per atom): -1398
Calculated total energy (eV/atom): -6.4927
Crystal system: monoclinic
ρ (g cm⁻³): 5.931

Cell and atoms, written as POSCAR:
```
HfSeCl
1.0
3.6184 0.0000 0.0000
0.0000 6.4538 0.0227
-1.8092 -2.6854 7.0138
Hf Cl Se
2 2 2
Cartesian
0.0000 0.0086 3.5716
1.8092 3.7597 3.4648
1.8092 1.3738 2.1699
0.0000 2.3946 4.8665
1.8092 -0.7946 5.2788
0.0000 4.5630 1.7577
```

No. 24
Below is a relaxed Hf2SeCl crystal, with properties calculated at the PBE-GGA level.

Summary:
E above lowest polymorph (meV/atom): 186
Formation energy without anion corrections (meV per atom): -305
Calculated total energy (eV/atom): -6.6146
Crystal system: tetragonal
ρ (g cm⁻³): 9.575

Cell and atoms, written as POSCAR:
```
Hf2SeCl
1.0
7.0950 0.0000 0.0000
0.0000 7.0950 0.0000
3.5475 3.5475 3.2480
Hf Cl Se
4 2 2
Cartesian
5.1043 1.7737 0.8120
5.3212 5.5381 2.4360
1.9907 5.3212 0.8120
8.8687 8.6518 2.4360
3.5475 7.0950 1.6240
3.5475 3.5475 0.0000
7.0950 3.5475 1.6240
0.0000 0.0000 0.0000
```

No. 25
Below is a relaxed HfSeCl3 crystal, with properties calculated at the PBE-GGA level.

Summary:
Formation energy without anion corrections (meV per atom): 629
Calculated total energy (eV/atom): -3.1665
Crystal system: cubic
ρ (g cm⁻³): 4.347

Cell and atoms, written as POSCAR:
```
HfSeCl3
1.0
-2.6774 -0.0905 4.4333
-3.2434 -3.4914 -2.0301
3.0237 -3.8252 1.7480
Hf Cl Se
1 3 1
Cartesian
-1.4486 -3.7036 2.0756
-1.6217 -1.7457 -1.0150
-1.3387 -0.0453 2.2166
1.5118 -1.9126 0.8740
0.0000 0.0000 0.0000
```

No. 26
Below is a relaxed HfSe2Cl crystal, with properties calculated at the PBE-GGA level.

Summary:
E above lowest polymorph (meV/atom): 457
Formation energy without anion corrections (meV per atom): -435
Calculated total energy (eV/atom): -5.1270
Crystal system: cubic
ρ (g cm⁻³): 7.777

Cell and atoms, written as POSCAR:
```
HfSe2Cl
1.0
0.0244 -4.4929 -1.7576
0.7047 -3.7443 2.9596
-3.6416 -3.0019 1.0015
Cl Se Hf
1 2 1
Cartesian
0.0000 0.0000 0.0000
-2.1844 -8.4292 1.6527
-0.7281 -2.8097 0.5509
-1.4563 -5.6195 1.1018
```

No. 27
Below is a relaxed HfTh2Se2Cl4 crystal, with properties calculated at the PBE-GGA level.

Summary:
Formation energy without anion corrections (meV per atom): -1546
Calculated total energy (eV/atom): -5.8963
Crystal system: trigonal
ρ (g cm⁻³): 5.770

Cell and atoms, written as POSCAR:
```
HfTh2Se2Cl4
1.0
-1.3102 -3.3974 0.7548
1.5163 0.7129 -3.3198
20.3074 -6.0597 7.9744
Se Th Cl Hf
2 2 4 1
Cartesian
7.7606 -4.4529 2.5886
4.7653 -3.5591 1.4123
12.7928 -5.9545 4.5646
19.9906 -5.9652 7.8500
11.4279 -3.4101 4.4875
14.9136 -4.4502 5.8563
1.0527 -2.4512 -0.0456
17.8695 -7.4693 6.5581
6.6296 -1.9783 2.6033
```